1.
DFT (GGA-PBE) results for a relaxed structure of BeB2Pt.

Unit cell a=4.9577 b=4.9577 c=8.2590 alpha=90.00 beta=90.00 gamma=90.00
Space group I-42d (No. 122)
Asymmetric unit:
Be (0.0000, 0.0000, 0.0000) [4 per cell]
B (0.2475, 0.2500, 0.1250) [8 per cell]
Pt (0.0000, 0.0000, 0.5000) [4 per cell]

## Properties
VASP energy: -5.0547 eV/atom
DOS(E_F): 8.833 states/eV per cell
Energy relative to the elements: 0.73 eV/atom


2.
DFT (GGA-PBE) results for a relaxed structure of BeBPt.

Unit cell a=3.2686 b=3.2685 c=5.5212 alpha=90.00 beta=90.10 gamma=90.00
Space group P2_1/m (No. 11)
Asymmetric unit:
Be (0.2496, 0.2500, 0.0000) [2 per cell]
B (0.2501, 0.7500, 0.2580) [2 per cell]
Pt (0.2504, 0.7500, 0.6643) [2 per cell]

## Properties
VASP energy: -5.5627 eV/atom
DOS(E_F): 1.133 states/eV per cell
Energy relative to the elements: -0.08 eV/atom


3.
DFT (GGA-PBE) results for a relaxed structure of BeBPt4.

Unit cell a=5.5081 b=5.5122 c=5.4850 alpha=90.00 beta=99.71 gamma=90.00
Space group C2/m (No. 12)
Asymmetric unit:
Be (0.0000, 0.0000, 0.0000) [2 per cell]
B (0.0000, 0.5000, 0.5000) [2 per cell]
Pt (0.2237, 0.2482, 0.7426) [8 per cell]

## Properties
VASP energy: -6.1578 eV/atom
DOS(E_F): 2.558 states/eV per cell
Energy relative to the elements: -0.40 eV/atom


4.
DFT (GGA-PBE) results for a relaxed structure of Be3BPt.

Unit cell a=3.6714 b=3.6714 c=3.6714 alpha=90.00 beta=90.00 gamma=90.00
Space group Pm-3m (No. 221)
Asymmetric unit:
Be (0.0000, 0.0000, 0.5000) [3 per cell]
B (0.0000, 0.0000, 0.0000) [1 per cell]
Pt (0.5000, 0.5000, 0.5000) [1 per cell]

## Properties
VASP energy: -4.7200 eV/atom
DOS(E_F): 1.299 states/eV per cell
Offset from the most stable computed form: 0.000 eV per atom
Energy relative to the elements: 0.06 eV/atom


5.
DFT (GGA-PBE) results for a relaxed structure of Be2BPt5.

Unit cell a=5.8077 b=9.5843 c=3.6555 alpha=90.00 beta=90.00 gamma=90.00
Space group Pbam (No. 55)
Asymmetric unit:
Be (0.0697, 0.1646, 0.0000) [4 per cell]
B (0.0000, 0.5000, 0.5000) [2 per cell]
Pt (0.0000, 0.0000, 0.5000) [2 per cell]
Pt (0.1462, 0.7045, 0.5000) [4 per cell]
Pt (0.1728, 0.4036, 0.0000) [4 per cell]

## Properties
VASP energy: -6.0155 eV/atom
DOS(E_F): 4.904 states/eV per cell
Energy relative to the elements: -0.47 eV/atom


6.
DFT (GGA-PBE) results for a relaxed structure of BeB2Pt6.

Unit cell a=12.0503 b=8.0148 c=5.5552 alpha=90.00 beta=116.09 gamma=90.00
Space group C2/c (No. 15)
Asymmetric unit:
Be (0.0000, 0.0191, 0.2500) [4 per cell]
B (0.2463, 0.4071, 0.3665) [8 per cell]
Pt (0.0947, 0.1979, 0.6300) [8 per cell]
Pt (0.1148, 0.4795, 0.9690) [8 per cell]
Pt (0.1617, 0.1478, 0.1870) [8 per cell]

## Properties
VASP energy: -6.1956 eV/atom
DOS(E_F): 13.244 states/eV per cell
Energy relative to the elements: -0.27 eV/atom


7.
DFT (GGA-PBE) results for a relaxed structure of Be2BPt2.

Unit cell a=2.9590 b=2.9590 c=12.5637 alpha=90.00 beta=90.00 gamma=90.00
Space group I4/mmm (No. 139)
Asymmetric unit:
Be (0.0000, 0.5000, 0.2500) [4 per cell]
B (0.0000, 0.0000, 0.0000) [2 per cell]
Pt (0.0000, 0.0000, 0.3956) [4 per cell]

## Properties
VASP energy: -5.3312 eV/atom
DOS(E_F): 3.858 states/eV per cell
Offset from the most stable computed form: 0.168 eV per atom
Energy relative to the elements: -0.09 eV/atom


8.
DFT (GGA-PBE) results for a relaxed structure of Pu2BeBPt6.

Unit cell a=8.7939 b=8.7939 c=8.7939 alpha=90.00 beta=90.00 gamma=90.00
Space group Fm-3m (No. 225)
Asymmetric unit:
Pu (0.2500, 0.2500, 0.2500) [8 per cell]
Be (0.0000, 0.0000, 0.0000) [4 per cell]
B (0.0000, 0.0000, 0.5000) [4 per cell]
Pt (0.0000, 0.0000, 0.2556) [24 per cell]

## Properties
VASP energy: -8.0589 eV/atom
DOS(E_F): 139.730 states/eV per cell
Energy relative to the elements: -0.53 eV/atom


9.
DFT (GGA-PBE) results for a relaxed structure of Pu3BeB2Pt8.

Unit cell a=5.4228 b=5.4228 c=9.4404 alpha=90.00 beta=90.00 gamma=120.00
Space group P-3m1 (No. 164)
Asymmetric unit:
Pu (0.0000, 0.0000, 0.0000) [1 per cell]
Pu (0.3333, 0.6667, 0.5719) [2 per cell]
Be (0.0000, 0.0000, 0.5000) [1 per cell]
B (0.3333, 0.6667, 0.1328) [2 per cell]
Pt (0.1650, 0.3300, 0.2872) [6 per cell]
Pt (0.3333, 0.6667, 0.9228) [2 per cell]

## Properties
VASP energy: -8.2789 eV/atom
DOS(E_F): 34.192 states/eV per cell
Energy relative to the elements: -0.54 eV/atom


10.
DFT (GGA-PBE) results for a relaxed structure of BeB2PtRh.

Unit cell a=3.9629 b=3.9629 c=4.1838 alpha=90.00 beta=90.00 gamma=90.00
Space group P4/mmm (No. 123)
Asymmetric unit:
Be (0.0000, 0.0000, 0.0000) [1 per cell]
B (0.0000, 0.5000, 0.5000) [2 per cell]
Pt (0.5000, 0.5000, 0.0000) [1 per cell]
Rh (0.0000, 0.0000, 0.5000) [1 per cell]

## Properties
VASP energy: -5.2565 eV/atom
DOS(E_F): 2.666 states/eV per cell
Energy relative to the elements: 0.84 eV/atom


11.
DFT (GGA-PBE) results for a relaxed structure of BeBPt2S.

Unit cell a=4.6133 b=4.6133 c=3.5139 alpha=90.00 beta=90.00 gamma=90.00
Space group P4/mmm (No. 123)
Asymmetric unit:
Be (0.0000, 0.0000, 0.0000) [1 per cell]
B (0.5000, 0.5000, 0.0000) [1 per cell]
Pt (0.0000, 0.5000, 0.5000) [2 per cell]
S (0.5000, 0.5000, 0.5000) [1 per cell]

## Properties
VASP energy: -4.3667 eV/atom
DOS(E_F): 2.559 states/eV per cell


12.
DFT (GGA-PBE) results for a relaxed structure of Sm3BeB2Pt8.

Unit cell a=5.4881 b=5.4881 c=9.4218 alpha=90.00 beta=90.00 gamma=120.00
Space group P-3m1 (No. 164)
Asymmetric unit:
Sm (0.0000, 0.0000, 0.0000) [1 per cell]
Sm (0.3333, 0.6667, 0.5835) [2 per cell]
Be (0.0000, 0.0000, 0.5000) [1 per cell]
B (0.3333, 0.6667, 0.1421) [2 per cell]
Pt (0.1646, 0.3291, 0.2913) [6 per cell]
Pt (0.3333, 0.6667, 0.9322) [2 per cell]

## Properties
VASP energy: -6.4332 eV/atom
DOS(E_F): 4.850 states/eV per cell
Energy relative to the elements: -0.75 eV/atom


> The highest DOS(E_F) belongs to which entry?

Pu2BeBPt6


> Among the records above, which one has the lowest DOS(E_F)?

BeBPt


> Number 4 is which compound?

Be3BPt


> Which value of DOS(E_F) does entry 11 give?

2.559 states/eV per cell